# 1
{
  "formula": "Li2AlMoPb",
  "functional": "GGA-PBE",
  "state": "relaxed",
  "lattice_angstrom": [[4.766, 0.000, 0.000], [0.000, 5.345, 0.000], [0.000, 0.000, 4.766]],
  "species": ["Li", "Pb", "Mo", "Al", "Li"],
  "frac_coords": [[0.500, 0.000, 0.000], [0.000, 0.500, 0.000], [0.500, 0.500, 0.500], [0.000, 0.000, 0.000], [0.000, 0.000, 0.500]],
  "spacegroup": "No. 123",
  "e_tot_ev_per_atom": -3.38,
  "dos_ef_per_ev_cell": 3.19,
  "delta_e_f_ev_per_fu": 5.19
}


# 2
{
  "formula": "LiAlReMo",
  "functional": "GGA-PBE",
  "state": "relaxed",
  "lattice_angstrom": [[-2.869, 1.540, 2.855], [-4.243, -0.473, -0.725], [-2.320, -2.734, 2.428]],
  "species": ["Re", "Mo", "Li", "Al"],
  "frac_coords": [[0.000, 0.000, 0.000], [0.750, 0.750, 0.750], [0.500, 0.500, 0.500], [0.250, 0.250, 0.250]],
  "spacegroup": "No. 216",
  "e_tot_ev_per_atom": -7.36,
  "dos_ef_per_ev_cell": 3.29,
  "delta_e_f_ev_per_fu": -0.49
}


# 3
{
  "formula": "LiAlMoRu",
  "functional": "GGA-PBE",
  "state": "relaxed",
  "lattice_angstrom": [[4.280, 0.000, 0.000], [2.140, 3.707, 0.000], [2.140, 1.236, 3.495]],
  "species": ["Al", "Ru", "Li", "Mo"],
  "frac_coords": [[0.500, 0.500, 0.500], [0.750, 0.750, 0.750], [0.250, 0.250, 0.250], [0.000, 0.000, 0.000]],
  "spacegroup": "No. 216",
  "e_tot_ev_per_atom": -6.75,
  "dos_ef_per_ev_cell": 0.74,
  "delta_e_f_ev_per_fu": -1.22
}


# 4
{
  "formula": "LiAlSi2Mo",
  "functional": "GGA-PBE",
  "state": "relaxed",
  "lattice_angstrom": [[4.249, 0.000, 0.000], [0.000, 4.295, 0.000], [0.000, 0.000, 4.249]],
  "species": ["Al", "Si", "Li", "Mo", "Si"],
  "frac_coords": [[0.000, 0.500, 0.000], [0.000, 0.000, 0.500], [0.000, 0.000, 0.000], [0.500, 0.500, 0.500], [0.500, 0.000, 0.000]],
  "spacegroup": "No. 123",
  "e_tot_ev_per_atom": -4.48,
  "dos_ef_per_ev_cell": 2.90,
  "formation_energy_uncorrected_ev_per_atom": 0.9889
}


# 5
{
  "formula": "SrLi2AlMo",
  "functional": "GGA-PBE",
  "state": "relaxed",
  "lattice_angstrom": [[5.112, 0.000, 0.000], [0.000, 4.988, 0.000], [0.000, 0.000, 5.112]],
  "species": ["Al", "Li", "Sr", "Mo", "Li"],
  "frac_coords": [[0.000, 0.500, 0.000], [0.500, 0.000, 0.000], [0.500, 0.500, 0.500], [0.000, 0.000, 0.000], [0.000, 0.000, 0.500]],
  "spacegroup": "No. 123",
  "e_tot_ev_per_atom": -3.40,
  "dos_ef_per_ev_cell": 4.81,
  "delta_e_f_ev_per_fu": 3.07
}


# 6
{
  "formula": "LiAlTcMo2",
  "functional": "GGA-PBE",
  "state": "relaxed",
  "lattice_angstrom": [[-3.797, 2.451, 1.187], [-1.746, -0.629, -4.288], [-1.996, -3.752, 1.363]],
  "species": ["Mo", "Al", "Li", "Tc", "Mo"],
  "frac_coords": [[0.000, 0.500, 0.000], [0.500, 0.500, 0.500], [0.000, 0.000, 0.500], [0.000, 0.000, 0.000], [0.500, 0.000, 0.000]],
  "spacegroup": "No. 123",
  "e_tot_ev_per_atom": -6.26,
  "dos_ef_per_ev_cell": 6.28,
  "delta_e_f_ev_per_fu": 6.40
}